one:
Here is a geometry-optimized La5Cu3 structure from the Alexandria database. Energies are from GGA-PBEsol.

Calculated values
Total magnetization   0.000 μB/cell
Crystal system   tetragonal

a b c (Å): 6.1586 8.6837 8.6837
angles (deg): 82.78 69.23 69.23
Sites, in units of the cell vectors:
La 0.0925 0.1191 0.6960
Cu 0.2500 0.0000 0.0000
Cu 0.3426 0.8148 0.5000
La 0.9075 0.8809 0.3040
La 0.2115 0.6960 0.8809
Cu 0.8426 0.5000 0.8148
La 0.7115 0.8809 0.6960
La 0.2500 0.5000 0.5000
La 0.7885 0.3040 0.1191
Cu 0.1574 0.5000 0.1852
Cu 0.6574 0.1852 0.5000
La 0.5925 0.6960 0.1191
La 0.4075 0.3040 0.8809
Cu 0.7500 0.0000 0.0000
La 0.2885 0.1191 0.3040
La 0.7500 0.5000 0.5000

***

two:
Here is a geometry-optimized La5Cu3 structure from the Alexandria database. Energies are from GGA-PBEsol.

Calculated values
Total magnetization   0.000 μB/cell
Crystal system   hexagonal

a b c (Å): 6.7596 8.4497 8.4497
angles (deg): 120.00 90.00 90.00
Sites, in units of the cell vectors:
La 0.2500 0.0000 0.7572
La 0.2500 0.7572 0.0000
La 0.7500 0.7572 0.7572
Cu 0.2500 0.6016 0.6016
La 0.5000 0.6667 0.3333
La 0.7500 0.2428 0.0000
La 0.7500 0.0000 0.2428
Cu 0.2500 0.0000 0.3984
Cu 0.7500 0.3984 0.3984
Cu 0.7500 0.0000 0.6016
Cu 0.7500 0.6016 0.0000
La 0.0000 0.6667 0.3333
La 0.0000 0.3333 0.6667
La 0.2500 0.2428 0.2428
La 0.5000 0.3333 0.6667
Cu 0.2500 0.3984 0.0000

***

Which is most stable, and by how much? two, by 26 meV per atom.

***

one:
Here is a geometry-optimized LaMg2Cu2 structure from the Alexandria database. Energies are from GGA-PBEsol.

Calculated values
Total magnetization   0.000 μB/cell
Crystal system   tetragonal

a b c (Å): 4.6786 4.6786 5.7830
angles (deg): 113.86 113.86 90.00
Sites, in units of the cell vectors:
La 0.0000 0.0000 0.0000
Mg 0.6452 0.6452 0.2905
Cu 0.7500 0.2500 0.5000
Mg 0.3548 0.3548 0.7095
Cu 0.2500 0.7500 0.5000

***

two:
Here is a geometry-optimized LaMg2Cu2 structure from the Alexandria database. Energies are from GGA-PBEsol.

Calculated values
Total magnetization   0.000 μB/cell
Crystal system   tetragonal

a b c (Å): 4.0800 4.0800 6.7419
angles (deg): 107.61 107.61 90.00
Sites, in units of the cell vectors:
Mg 0.7500 0.2500 0.5000
Cu 0.6009 0.6009 0.2018
Cu 0.3991 0.3991 0.7982
La 0.0000 0.0000 0.0000
Mg 0.2500 0.7500 0.5000

***

Which is most stable, and by how much? two, by 132 meV per atom.

***

one:
Here is a geometry-optimized La2CuMo structure from the Alexandria database. Energies are from GGA-PBEsol.

Calculated values
Total magnetization   0.002 μB/cell
Crystal system   tetragonal

a b c (Å): 3.5561 5.0051 5.0051
angles (deg): 90.00 90.00 90.00
Sites, in units of the cell vectors:
La 0.0000 0.0000 0.5000
Cu 0.5000 0.0000 0.0000
Mo 0.5000 0.5000 0.5000
La 0.0000 0.5000 0.0000

***

two:
Here is a geometry-optimized La2CuMo structure from the Alexandria database. Energies are from GGA-PBEsol.

Calculated values
Total magnetization   0.000 μB/cell
Crystal system   monoclinic

a b c (Å): 3.4831 4.7612 5.5191
angles (deg): 90.00 102.32 90.00
Sites, in units of the cell vectors:
Cu 0.3947 0.5000 0.7786
La 0.9206 0.0000 0.9068
La 0.7506 0.5000 0.3537
Mo 0.4340 0.0000 0.4609

***

Which is most stable, and by how much? two, by 51 meV per atom.

***

one:
Here is a geometry-optimized La2CuO4 structure from the Alexandria database. Energies are from GGA-PBEsol.

Calculated values
Total magnetization   0.000 μB/cell
Crystal system   orthorhombic

a b c (Å): 5.2674 5.4383 7.0102
angles (deg): 90.00 112.07 90.00
Sites, in units of the cell vectors:
La 0.6386 0.0127 0.2772
O 0.2403 0.2500 0.9806
O 0.3144 0.5547 0.6288
O 0.8144 0.9453 0.6288
O 0.1856 0.0547 0.3712
O 0.2597 0.7500 0.0194
Cu 0.0000 0.0000 0.0000
O 0.7597 0.7500 0.0194
La 0.3614 0.9873 0.7228
O 0.7403 0.2500 0.9806
O 0.6856 0.4453 0.3712
La 0.8614 0.5127 0.7228
Cu 0.5000 0.5000 0.0000
La 0.1386 0.4873 0.2772

***

two:
Here is a geometry-optimized La2CuO4 structure from the Alexandria database. Energies are from GGA-PBEsol.

Calculated values
Total magnetization   0.000 μB/cell
Crystal system   orthorhombic

a b c (Å): 3.7541 3.7541 7.0412
angles (deg): 105.46 105.46 90.00
Sites, in units of the cell vectors:
La 0.3681 0.3551 0.7231
O 0.0064 0.4930 0.0000
Cu 0.0069 0.9931 0.0000
O 0.5070 0.9936 0.0000
La 0.6449 0.6319 0.2769
O 0.1949 0.1743 0.3692
O 0.8257 0.8051 0.6308

***

Which is most stable, and by how much? one, by 7 meV per atom.

***

one:
Here is a geometry-optimized LaCu2Os structure from the Alexandria database. Energies are from GGA-PBEsol.

Calculated values
Total magnetization   0.000 μB/cell
Crystal system   cubic

a b c (Å): 4.5753 4.5753 4.5753
angles (deg): 60.00 60.00 60.00
Sites, in units of the cell vectors:
Cu 0.7500 0.7500 0.7500
Os 0.2500 0.2500 0.2500
Cu 0.0000 0.0000 0.0000
La 0.5000 0.5000 0.5000

***

two:
Here is a geometry-optimized LaCu2Os structure from the Alexandria database. Energies are from GGA-PBEsol.

Calculated values
Total magnetization   0.001 μB/cell
Crystal system   orthorhombic

a b c (Å): 3.5231 4.5238 5.0756
angles (deg): 116.46 110.31 90.00
Sites, in units of the cell vectors:
Os 0.2688 0.7688 0.5377
Cu 0.7263 0.2263 0.4527
La 0.4948 0.4948 0.9896
Cu 0.0100 0.0100 0.0200

***

three:
Here is a geometry-optimized LaCu2Os structure from the Alexandria database. Energies are from GGA-PBEsol.

Calculated values
Total magnetization   0.006 μB/cell
Crystal system   tetragonal

a b c (Å): 4.0450 4.0450 4.9273
angles (deg): 114.23 114.23 90.00
Sites, in units of the cell vectors:
La 0.0000 0.0000 0.0000
Os 0.5000 0.5000 0.0000
Cu 0.2500 0.7500 0.5000
Cu 0.7500 0.2500 0.5000

***

four:
Here is a geometry-optimized LaCu2Os structure from the Alexandria database. Energies are from GGA-PBEsol.

Calculated values
Total magnetization   0.000 μB/cell
Crystal system   monoclinic

a b c (Å): 4.2195 4.2400 5.3557
angles (deg): 112.75 90.00 119.84
Sites, in units of the cell vectors:
La 0.0000 0.0000 0.5000
Cu 0.1972 0.3945 0.0915
Cu 0.8028 0.6055 0.9085
Os 0.5000 0.0000 0.0000

***

Which is most stable, and by how much? four, by 150 meV per atom.

***

one:
Here is a geometry-optimized LaCuPd3 structure from the Alexandria database. Energies are from GGA-PBEsol.

Calculated values
Total magnetization   0.000 μB/cell
Crystal system   cubic

a b c (Å): 5.0057 5.0057 5.0057
angles (deg): 90.00 90.00 90.00
Sites, in units of the cell vectors:
La 0.0000 0.0000 0.0000
Cu 0.5000 0.5000 0.5000
Pd 0.0000 0.0000 0.5000
Pd 0.0000 0.5000 0.0000
Pd 0.5000 0.0000 0.0000

***

two:
Here is a geometry-optimized LaCuPd3 structure from the Alexandria database. Energies are from GGA-PBEsol.

Calculated values
Total magnetization   0.000 μB/cell
Crystal system   cubic

a b c (Å): 4.6028 4.6028 4.6028
angles (deg): 90.00 90.00 90.00
Sites, in units of the cell vectors:
Pd 0.0000 0.5000 0.0000
La 0.5000 0.5000 0.5000
Cu 0.0000 0.0000 0.0000
Pd 0.0000 0.0000 0.5000
Pd 0.5000 0.0000 0.0000

***

Which is most stable, and by how much? two, by 1176 meV per atom.